1.
A relaxed structure of LiTb2Hf, computed with PBE.

Lattice parameters (Å, degrees): 3.2329 3.2329 35.3382 90.00 90.00 120.00
Space group R-3m (No. 166, hexagonal axes)
Inequivalent atoms, fractional coordinates:
Li: 0.0000 0.0000 0.0000 (multiplicity 3)
Tb: 0.0000 0.0000 0.4120 (multiplicity 6)
Hf: 0.0000 0.0000 0.5000 (multiplicity 3)

## Properties
Fermi-level density of states, states/eV per atom: 1.256
Formation energy, meV/atom: 418
Total moment, μB/f.u.: 0.00
Excess energy over the best structure of this formula in the dataset, eV per atom: 0.3147
Calculated density, Mg/m³: 7.8
Calculated total energy, eV/atom: -4.864

2.
A relaxed structure of LiTb2Hf, computed with PBE.

Lattice parameters (Å, degrees): 3.3576 3.3576 33.3054 90.00 90.00 120.00
Space group R3m (No. 160, hexagonal axes)
Inequivalent atoms, fractional coordinates:
Li: 0.0000 0.0000 0.0000 (multiplicity 3)
Tb: 0.0000 0.0000 0.5786 (multiplicity 3)
Tb: 0.0000 0.0000 0.7546 (multiplicity 3)
Hf: 0.0000 0.0000 0.1666 (multiplicity 3)

## Properties
Fermi-level density of states, states/eV per atom: 1.164
Formation energy, meV/atom: 139
Total moment, μB/f.u.: 0.00
Excess energy over the best structure of this formula in the dataset, eV per atom: 0.0350
Calculated density, Mg/m³: 7.7
Calculated total energy, eV/atom: -5.143

3.
A relaxed structure of LiTb2Hf, computed with PBE.

Lattice parameters (Å, degrees): 3.409 3.409 9.094 90.00 90.00 90.00
Space group P4/mmm (No. 123)
Inequivalent atoms, fractional coordinates:
Li: 0.000 0.000 0.000 (multiplicity 1)
Tb: 0.500 0.500 0.254 (multiplicity 2)
Hf: 0.000 0.000 0.500 (multiplicity 1)

## Properties
Fermi-level density of states, states/eV per atom: 1.176
Formation energy, meV/atom: 104
Total moment, μB/f.u.: 0.00
Excess energy over the best structure of this formula in the dataset, eV per atom: 0.0000
Calculated density, Mg/m³: 7.9
Calculated total energy, eV/atom: -5.178

4.
A relaxed structure of Li3Tb2HfTe6, computed with PBE.

Lattice parameters (Å, degrees): 7.342 12.713 7.493 90.00 109.14 90.00
Space group C2/m (No. 12)
Inequivalent atoms, fractional coordinates:
Li: 0.000 0.000 0.000 (multiplicity 2)
Li: 0.000 0.331 0.000 (multiplicity 4)
Tb: 0.000 0.167 0.500 (multiplicity 4)
Hf: 0.000 0.500 0.500 (multiplicity 2)
Te: 0.233 0.500 0.247 (multiplicity 4)
Te: 0.244 0.341 0.755 (multiplicity 8)

## Properties
Fermi-level density of states, states/eV per atom: 0.346
Raw formation energy, meV/atom: -1121
Total moment, μB/f.u.: 0.00
Calculated density, Mg/m³: 6.4
Calculated total energy, eV/atom: -4.772

5.
A relaxed structure of LiHfTc2, computed with PBE.

Lattice parameters (Å, degrees): 7.033 7.033 5.127 90.00 90.00 90.00
Space group I-42d (No. 122)
Inequivalent atoms, fractional coordinates:
Li: 0.000 0.000 0.000 (multiplicity 4)
Hf: 0.000 0.000 0.500 (multiplicity 4)
Tc: 0.218 0.250 0.125 (multiplicity 8)

## Properties
Fermi-level density of states, states/eV per atom: 0.867
Formation energy, meV/atom: 506
Total moment, μB/f.u.: 0.00
Excess energy over the best structure of this formula in the dataset, eV per atom: 0.5345
Calculated density, Mg/m³: 10.0
Calculated total energy, eV/atom: -7.643

6.
A relaxed structure of LiHfTc2, computed with PBE.

Lattice parameters (Å, degrees): 5.165 5.187 5.519 101.63 97.75 115.66
Space group P1 (No. 1)
Inequivalent atoms, fractional coordinates:
Li: 0.000 0.000 0.000 (multiplicity 1)
Li: 0.028 0.477 0.256 (multiplicity 1)
Hf: 0.014 0.466 0.747 (multiplicity 1)
Hf: 0.515 0.985 0.242 (multiplicity 1)
Tc: 0.026 0.975 0.507 (multiplicity 1)
Tc: 0.492 0.980 0.731 (multiplicity 1)
Tc: 0.526 0.480 0.009 (multiplicity 1)
Tc: 0.541 0.515 0.489 (multiplicity 1)

## Properties
Fermi-level density of states, states/eV per atom: 0.672
Formation energy, meV/atom: 25
Total moment, μB/f.u.: 0.00
Excess energy over the best structure of this formula in the dataset, eV per atom: 0.0536
Calculated density, Mg/m³: 10.0
Calculated total energy, eV/atom: -8.124

7.
A relaxed structure of LiHfTc, computed with PBE.

Lattice parameters (Å, degrees): 9.502 4.734 5.200 90.00 120.58 90.00
Space group C2/m (No. 12)
Inequivalent atoms, fractional coordinates:
Li: 0.019 0.000 0.271 (multiplicity 4)
Hf: 0.184 0.500 0.769 (multiplicity 4)
Tc: 0.148 0.500 0.229 (multiplicity 4)

## Properties
Fermi-level density of states, states/eV per atom: 0.628
Formation energy, meV/atom: -14
Total moment, μB/f.u.: 0.00
Excess energy over the best structure of this formula in the dataset, eV per atom: 0.0596
Calculated density, Mg/m³: 9.3
Calculated total energy, eV/atom: -7.425

8.
A relaxed structure of LiHfTc2, computed with PBE.

Lattice parameters (Å, degrees): 9.418 4.482 6.459 90.00 111.26 90.00
Space group Cm (No. 8)
Inequivalent atoms, fractional coordinates:
Li: 0.000 0.000 0.000 (multiplicity 2)
Li: 0.249 0.500 0.607 (multiplicity 2)
Hf: 0.243 0.500 0.127 (multiplicity 2)
Hf: 0.484 0.000 0.722 (multiplicity 2)
Tc: 0.015 0.000 0.472 (multiplicity 2)
Tc: 0.241 0.000 0.861 (multiplicity 2)
Tc: 0.249 0.000 0.369 (multiplicity 2)
Tc: 0.481 0.000 0.230 (multiplicity 2)

## Properties
Fermi-level density of states, states/eV per atom: 0.827
Formation energy, meV/atom: 47
Total moment, μB/f.u.: 0.00
Excess energy over the best structure of this formula in the dataset, eV per atom: 0.0755
Calculated density, Mg/m³: 10.0
Calculated total energy, eV/atom: -8.102

9.
A relaxed structure of LiHf6Tc5, computed with PBE.

Lattice parameters (Å, degrees): 4.640 6.542 13.808 90.00 90.00 90.00
Space group Immm (No. 71)
Inequivalent atoms, fractional coordinates:
Li: 0.000 0.000 0.000 (multiplicity 2)
Hf: 0.000 0.242 0.500 (multiplicity 4)
Hf: 0.000 0.254 0.170 (multiplicity 8)
Tc: 0.000 0.000 0.333 (multiplicity 4)
Tc: 0.000 0.500 0.000 (multiplicity 2)
Tc: 0.000 0.500 0.336 (multiplicity 4)

## Properties
Fermi-level density of states, states/eV per atom: 0.758
Formation energy, meV/atom: -402
Total moment, μB/f.u.: 0.00
Calculated density, Mg/m³: 12.4
Calculated total energy, eV/atom: -9.857

10.
A relaxed structure of LiHf2Tc, computed with PBE.

Lattice parameters (Å, degrees): 4.588 4.588 3.331 90.00 90.00 90.00
Space group P4/mmm (No. 123)
Inequivalent atoms, fractional coordinates:
Li: 0.000 0.000 0.000 (multiplicity 1)
Hf: 0.000 0.500 0.500 (multiplicity 2)
Tc: 0.500 0.500 0.000 (multiplicity 1)

## Properties
Fermi-level density of states, states/eV per atom: 0.981
Formation energy, meV/atom: -140
Total moment, μB/f.u.: 0.00
Excess energy over the best structure of this formula in the dataset, eV per atom: 0.0887
Calculated density, Mg/m³: 10.9
Calculated total energy, eV/atom: -8.187